Entry P
An optimized crystal structure of Tb3Er5Tm, computed with GGA-PBE.

Calculated values
The crystal system is monoclinic. The volume comes out at 331.1 Å³/f.u.

Lattice parameters (Å, degrees): 9.345 9.345 10.773 106.95 106.95 47.97
Positions (direct):
Tb1 0.000 0.000 0.000
Tb2 0.000 0.000 0.500
Tb3 0.326 0.341 0.669
Tb4 0.341 0.326 0.169
Tb5 0.659 0.674 0.831
Tb6 0.674 0.659 0.331
Er1 0.079 0.585 0.921
Er2 0.086 0.582 0.415
Er3 0.254 0.746 0.250
Er4 0.415 0.921 0.579
Er5 0.418 0.914 0.085
Er6 0.582 0.086 0.915
Er7 0.585 0.079 0.421
Er8 0.746 0.254 0.750
Er9 0.914 0.418 0.585
Er10 0.921 0.415 0.079
Tm1 0.245 0.755 0.750
Tm2 0.755 0.245 0.250


Entry Q
An optimized crystal structure of Tb3Er5Tm, computed with GGA-PBE.

Calculated values
The crystal system is monoclinic. The volume comes out at 317.2 Å³/f.u.

Lattice parameters (Å, degrees): 9.393 9.393 9.854 121.32 121.32 73.56
Positions (direct):
Tb1 0.000 0.000 0.000
Tb2 0.010 0.010 0.312
Tb3 0.478 0.478 0.136
Tb4 0.500 0.500 0.500
Tb5 0.522 0.522 0.864
Tb6 0.990 0.990 0.688
Er1 0.095 0.597 0.751
Er2 0.220 0.220 0.730
Er3 0.240 0.760 0.500
Er4 0.278 0.278 0.464
Er5 0.403 0.905 0.249
Er6 0.597 0.095 0.751
Er7 0.722 0.722 0.536
Er8 0.760 0.240 0.500
Er9 0.780 0.780 0.270
Er10 0.905 0.403 0.249
Tm1 0.250 0.250 0.103
Tm2 0.750 0.750 0.897


Which one sits at the bottom of the stability order? entry P does.


Entry P
An optimized crystal structure of Tb4ErTm3, computed with GGA-PBE.

Calculated values
The crystal system is orthorhombic. The volume comes out at 254.1 Å³/f.u.

Lattice parameters (Å, degrees): 13.174 13.174 3.551 90.00 90.00 155.65
Positions (direct):
Tb1 0.103 0.897 0.000
Tb2 0.223 0.777 0.000
Tb3 0.777 0.223 0.000
Tb4 0.897 0.103 0.000
Er1 0.000 0.000 0.500
Tm1 0.346 0.654 0.500
Tm2 0.500 0.500 0.000
Tm3 0.654 0.346 0.500


Entry Q
An optimized crystal structure of Tb4ErTm3, computed with GGA-PBE.

Calculated values
The crystal system is orthorhombic. The volume comes out at 250.5 Å³/f.u.

Lattice parameters (Å, degrees): 11.154 7.207 6.232 90.00 90.00 90.00
Positions (direct):
Tb1 0.000 0.127 0.000
Tb2 0.000 0.873 0.499
Tb3 0.249 0.873 0.833
Tb4 0.251 0.127 0.333
Tb5 0.500 0.127 0.999
Tb6 0.500 0.873 0.500
Tb7 0.749 0.127 0.333
Tb8 0.751 0.873 0.833
Er1 0.000 0.377 0.500
Er2 0.500 0.623 0.000
Tm1 0.000 0.623 0.000
Tm2 0.250 0.377 0.833
Tm3 0.250 0.623 0.333
Tm4 0.500 0.377 0.500
Tm5 0.750 0.377 0.833
Tm6 0.750 0.623 0.333


Which one sits at the bottom of the stability order? entry P does.